Computed, not measured: an optimized crystal structure of CaAc14Er at the GGA-PBE level of DFT.

abc: 7.9208 7.9208 11.1869
angles: 90.00 90.00 90.00
Atoms (fractional coordinates):
Ac 0.6287 0.3713 0.2479
Ac 0.1217 0.3717 0.7527
Ac 0.3748 0.6252 0.5000
Ac 0.6283 0.8783 0.2473
Ac 0.3745 0.1245 0.5000
Ac 0.6287 0.3713 0.7521
Ac 0.1213 0.8787 0.7534
Ac 0.6283 0.8783 0.7527
Ac 0.1213 0.8787 0.2466
Ac 0.8755 0.6255 0.5000
Ac 0.8753 0.1247 0.5000
Ac 0.3755 0.1256 0.0000
Ac 0.8744 0.6245 0.0000
Ac 0.1217 0.3717 0.2473
Ca 0.3751 0.6249 0.0000
Er 0.8749 0.1251 0.0000

Results
E	-3.98	eV/atom

=====

Computed, not measured: an optimized crystal structure of CaAcEr2 at the GGA-PBE level of DFT.

abc: 5.8963 5.8963 5.8963
angles: 60.00 60.00 60.00
Atoms (fractional coordinates):
Er 0.7500 0.7500 0.7500
Er 0.2500 0.2500 0.2500
Ca 0.5000 0.5000 0.5000
Ac 0.0000 0.0000 0.0000

Results
E	-3.64	eV/atom
ΔE to the lowest computed polymorph	0.25	eV per formula unit

=====

Computed, not measured: an optimized crystal structure of CaAcEr at the GGA-PBE level of DFT.

abc: 3.8315 3.8315 8.3771
angles: 103.22 103.22 90.00
Atoms (fractional coordinates):
Ac 0.6770 0.6770 0.3539
Ca 0.9927 0.9927 0.9854
Er 0.3303 0.3303 0.6606

Results
E	-3.48	eV/atom
ΔE to the lowest computed polymorph	0.05	eV per formula unit